(1)
Sc3Cl | Alexandria | GGA-PBE | relaxed; space-group type = Pnma (62); calculated volume = 21.28 Å³ per atom; Fermi-level density of states = 16.11 states/eV/cell; raw formation energy = -1.97 eV/f.u.
1.0
6.1535 0.0000 0.0000
0.0000 6.2980 0.0000
0.0000 0.0000 8.7875
Sc Cl
12 4
direct
0.1856 0.0216 0.7500 Sc
0.6856 0.4784 0.2500 Sc
0.3144 0.5216 0.7500 Sc
0.8144 0.9784 0.2500 Sc
0.6280 0.2062 0.9434 Sc
0.1280 0.2938 0.0566 Sc
0.8720 0.7062 0.5566 Sc
0.3720 0.7938 0.4434 Sc
0.3720 0.7938 0.0566 Sc
0.8720 0.7062 0.9434 Sc
0.1280 0.2938 0.4434 Sc
0.6280 0.2062 0.5566 Sc
0.5752 0.8601 0.7500 Cl
0.0752 0.6399 0.2500 Cl
0.9248 0.3601 0.7500 Cl
0.4248 0.1399 0.2500 Cl

***

(2)
Sc3Cl | Alexandria | GGA-PBE | relaxed; space-group type = R-3m (166); calculated volume = 22.19 Å³ per atom; Fermi-level density of states = 5.55 states/eV/cell; raw formation energy = -2.41 eV/f.u.
1.0
9.2778 0.0078 0.0046
8.6661 3.3130 0.0046
8.6661 1.6038 2.8989
Cl Sc
1 3
direct
0.0000 0.0000 0.0000 Cl
0.7411 0.7411 0.7411 Sc
0.5000 0.5000 0.5000 Sc
0.2589 0.2589 0.2589 Sc

***

(3)
ScCl3 | Alexandria | GGA-PBE | relaxed; space-group type = R-3 (148); calculated volume = 29.58 Å³ per atom; Fermi-level density of states = 0.00 states/eV/cell; raw formation energy = -8.47 eV/f.u.
1.0
-7.3976 1.0804 -0.6962
-4.8528 -3.4363 -4.5829
-5.6258 -4.6591 1.7329
Cl Sc
6 2
direct
0.4408 0.7058 0.0732 Cl
0.0733 0.4407 0.7058 Cl
0.7059 0.0732 0.4407 Cl
0.5593 0.2941 0.9267 Cl
0.9268 0.5592 0.2941 Cl
0.2943 0.9267 0.5592 Cl
0.3333 0.3332 0.3332 Sc
0.6668 0.6667 0.6667 Sc

***

(4)
Sc3Cl | Alexandria | GGA-PBE | relaxed; space-group type = Immm (71); calculated volume = 22.42 Å³ per atom; Fermi-level density of states = 5.20 states/eV/cell; raw formation energy = -1.40 eV/f.u.
1.0
-2.2411 5.5797 -0.2804
-4.7883 0.7692 -3.5658
2.4754 -2.5455 4.8608
Cl Sc
1 3
direct
0.0000 0.0000 0.0000 Cl
0.7851 0.2851 0.5000 Sc
0.5000 0.5000 0.0000 Sc
0.2149 0.7149 0.5000 Sc

***

(5)
Sc2Cl | Alexandria | GGA-PBE | relaxed; space-group type = I4_1/amd (141); calculated volume = 21.23 Å³ per atom; Fermi-level density of states = 6.23 states/eV/cell; raw formation energy = -1.35 eV/f.u.
1.0
-1.5951 1.5951 12.5159
1.5951 -1.5951 12.5159
1.5951 1.5951 -12.5159
Sc Cl
4 2
direct
0.5746 0.5746 0.0000 Sc
0.1754 0.6754 0.5000 Sc
0.4254 0.4254 0.0000 Sc
0.3246 0.8246 0.5000 Sc
0.0000 0.0000 0.0000 Cl
0.7500 0.2500 0.5000 Cl

***

(6)
Sc2Cl | Alexandria | GGA-PBE | relaxed; space-group type = Pa-3 (205); calculated volume = 20.78 Å³ per atom; Fermi-level density of states = 20.04 states/eV/cell; raw formation energy = -1.87 eV/f.u.
1.0
6.2940 0.0000 0.0000
0.0000 6.2940 0.0000
0.0000 0.0000 6.2940
Sc Cl
8 4
direct
0.6441 0.6441 0.3559 Sc
0.3559 0.3559 0.6441 Sc
0.1441 0.8559 0.6441 Sc
0.8559 0.1441 0.3559 Sc
0.3559 0.1441 0.1441 Sc
0.6441 0.8559 0.8559 Sc
0.8559 0.3559 0.8559 Sc
0.1441 0.6441 0.1441 Sc
0.0000 0.0000 0.0000 Cl
0.5000 0.5000 0.0000 Cl
0.5000 0.0000 0.5000 Cl
0.0000 0.5000 0.5000 Cl

***

(7)
ScCl3 | Alexandria | GGA-PBE | relaxed; space-group type = P-6m2 (187); calculated volume = 24.36 Å³ per atom; Fermi-level density of states = 2.75 states/eV/cell; raw formation energy = -5.13 eV/f.u.
1.0
-2.5992 -2.3574 -0.0889
2.7788 -0.3710 -2.1122
4.2331 -4.9098 6.4315
Sc Cl
1 3
direct
0.6667 0.3333 0.7500 Sc
0.0000 0.0000 0.9237 Cl
0.0000 0.0000 0.5763 Cl
0.6667 0.3333 0.2500 Cl

***

(8)
ScCl3 | Alexandria | GGA-PBE | relaxed; space-group type = R-3m (166); calculated volume = 31.03 Å³ per atom; Fermi-level density of states = 0.00 states/eV/cell; raw formation energy = -7.99 eV/f.u.
1.0
-1.0751 3.1708 -3.6977
-4.4521 -2.1768 -0.5687
-1.9853 3.1796 3.2912
Sc Cl
1 3
direct
0.0000 0.0000 0.0000 Sc
0.0000 0.5000 0.0000 Cl
0.0000 0.0000 0.5000 Cl
0.5000 0.0000 0.0000 Cl

***

Q: Which value of raw formation energy does entry 3 give?
A: -8.47 eV/f.u.

***

Q: The highest calculated volume belongs to which entry?
A: number 8

***

Q: Fermi-level density of states of number 6 (Sc2Cl)?
A: 20.04 states/eV/cell

***

Q: What is the calculated volume in the seventh record?
A: 24.36 Å³ per atom